#a
Crystalline FeTeAsI2 at its relaxed geometry. Source: Alexandria, functional PBE-GGA.

Summary:
* SG: P4/mmm (123)

Unit cell a=5.563 b=5.563 c=5.671 alpha=90.00 beta=90.00 gamma=90.00
Site moments in Bohr magnetons follow the coordinates.
Sites, in units of the cell vectors:
As (0.000, 0.000, 0.000)  -0.02
Fe (0.500, 0.500, 0.500)  3.42
I (0.000, 0.500, 0.000)  0.02
I (0.500, 0.000, 0.000)  0.02
Te (0.000, 0.000, 0.500)  -0.04

=====

#b
Crystalline FeTeAsI2 at its relaxed geometry. Source: Alexandria, functional PBE-GGA.

Summary:
* SG: P4/mmm (123)

Unit cell a=5.189 b=5.189 c=4.964 alpha=90.00 beta=90.00 gamma=90.00
Site moments in Bohr magnetons follow the coordinates.
Sites, in units of the cell vectors:
Fe (0.000, 0.000, 0.000)  2.17
As (0.500, 0.500, 0.500)  -0.30
I (0.000, 0.500, 0.000)  0.03
I (0.500, 0.000, 0.000)  0.03
Te (0.000, 0.000, 0.500)  0.05

=====

The structure with the least stability is #a.

=====

#a
Crystalline InFe2As2 at its relaxed geometry. Source: Alexandria, functional PBE-GGA.

Summary:
* SG: I4/mmm (139)

Unit cell a=4.162 b=4.162 c=5.508 alpha=67.80 beta=67.80 gamma=90.00
Site moments in Bohr magnetons follow the coordinates.
Sites, in units of the cell vectors:
As (0.636, 0.636, 0.729)  -0.03
As (0.364, 0.364, 0.271)  -0.03
Fe (0.250, 0.750, 0.500)  0.50
Fe (0.750, 0.250, 0.500)  0.50
In (0.000, 0.000, 0.000)  0.02

=====

#b
Crystalline InFe2As2 at its relaxed geometry. Source: Alexandria, functional PBE-GGA.

Summary:
* SG: I4/mmm (139)

Unit cell a=3.758 b=3.758 c=6.220 alpha=72.42 beta=72.42 gamma=90.00
Sites, in units of the cell vectors:
In (0.000, 0.000, 0.000)
Fe (0.622, 0.622, 0.757)
Fe (0.378, 0.378, 0.243)
As (0.250, 0.750, 0.500)
As (0.750, 0.250, 0.500)

=====

#c
Crystalline InFe2As2 at its relaxed geometry. Source: Alexandria, functional PBE-GGA.

Summary:
* SG: P4/mbm (127)

Unit cell a=7.212 b=7.212 c=2.917 alpha=90.00 beta=90.00 gamma=90.00
Sites, in units of the cell vectors:
As (0.356, 0.144, 0.500)
As (0.144, 0.644, 0.500)
As (0.644, 0.856, 0.500)
As (0.856, 0.356, 0.500)
Fe (0.864, 0.636, 0.000)
Fe (0.364, 0.864, 0.000)
Fe (0.636, 0.136, 0.000)
Fe (0.136, 0.364, 0.000)
In (0.000, 0.000, 0.000)
In (0.500, 0.500, 0.000)

=====

The structure with the least stability is #c.

=====

#a
Crystalline InFe2As at its relaxed geometry. Source: Alexandria, functional PBE-GGA.

Summary:
* SG: Immm (71)

Unit cell a=4.863 b=4.863 c=4.863 alpha=138.84 beta=121.46 gamma=74.05
Site moments in Bohr magnetons follow the coordinates.
Sites, in units of the cell vectors:
Fe (0.031, 0.031, 0.000)  2.26
Fe (0.469, 0.469, 0.000)  2.26
As (0.250, 0.750, 0.500)  -0.02
In (0.750, 0.250, 0.500)  -0.09

=====

#b
Crystalline InFe2As at its relaxed geometry. Source: Alexandria, functional PBE-GGA.

Summary:
* SG: R3m (160)

Unit cell a=8.423 b=8.423 c=8.423 alpha=20.91 beta=20.91 gamma=20.91
Site moments in Bohr magnetons follow the coordinates.
Sites, in units of the cell vectors:
Fe (0.997, 0.997, 0.997)  2.21
Fe (0.263, 0.263, 0.263)  2.68
As (0.733, 0.733, 0.733)  -0.04
In (0.507, 0.507, 0.507)  -0.03

=====

The structure with the least stability is #a.

=====

#a
Crystalline InFe2As at its relaxed geometry. Source: Alexandria, functional PBE-GGA.

Summary:
* SG: R-3m (166)

Unit cell a=8.055 b=8.055 c=8.055 alpha=21.46 beta=21.46 gamma=21.46
Site moments in Bohr magnetons follow the coordinates.
Sites, in units of the cell vectors:
In (0.250, 0.250, 0.250)  -0.07
Fe (0.009, 0.009, 0.009)  1.99
Fe (0.491, 0.491, 0.491)  1.99
As (0.750, 0.750, 0.750)  -0.09

=====

#b
Crystalline InFe2As at its relaxed geometry. Source: Alexandria, functional PBE-GGA.

Summary:
* SG: F-43m (216)

Unit cell a=4.518 b=4.518 c=4.518 alpha=60.00 beta=60.00 gamma=60.00
Site moments in Bohr magnetons follow the coordinates.
Sites, in units of the cell vectors:
Fe (0.250, 0.250, 0.250)  2.64
Fe (0.000, 0.000, 0.000)  2.59
As (0.500, 0.500, 0.500)  0.01
In (0.750, 0.750, 0.750)  -0.07

=====

The structure with the least stability is #b.

=====

#a
Crystalline FeAs4Ir at its relaxed geometry. Source: Alexandria, functional PBE-GGA.

Summary:
* SG: F-43m (216)

Unit cell a=5.345 b=5.345 c=5.345 alpha=60.00 beta=60.00 gamma=60.00
Site moments in Bohr magnetons follow the coordinates.
Sites, in units of the cell vectors:
Ir (0.000, 0.000, 0.000)  -0.06
Fe (0.750, 0.750, 0.750)  3.08
As (0.376, 0.873, 0.376)  0.01
As (0.376, 0.376, 0.873)  0.01
As (0.873, 0.376, 0.376)  0.01
As (0.376, 0.376, 0.376)  0.01

=====

#b
Crystalline FeAs4Ir at its relaxed geometry. Source: Alexandria, functional PBE-GGA.

Summary:
* SG: P2_1/c (14)

Unit cell a=5.981 b=5.999 c=5.882 alpha=90.00 beta=93.88 gamma=90.00
Site moments in Bohr magnetons follow the coordinates.
Sites, in units of the cell vectors:
As (0.372, 0.382, 0.377)  0.00
As (0.384, 0.866, 0.110)  -0.02
As (0.116, 0.366, 0.890)  -0.02
As (0.884, 0.634, 0.110)  -0.02
As (0.616, 0.134, 0.890)  -0.02
As (0.128, 0.882, 0.623)  0.00
As (0.872, 0.118, 0.377)  0.00
As (0.628, 0.618, 0.623)  0.00
Ir (0.000, 0.500, 0.500)  0.02
Ir (0.500, 0.000, 0.500)  0.02
Fe (0.000, 0.000, 0.000)  1.82
Fe (0.500, 0.500, 0.000)  1.82

=====

The structure with the least stability is #a.

=====

#a
Crystalline FeAsIr3 at its relaxed geometry. Source: Alexandria, functional PBE-GGA.

Summary:
* SG: Pm-3m (221)

Unit cell a=4.529 b=4.529 c=4.529 alpha=90.00 beta=90.00 gamma=90.00
Site moments in Bohr magnetons follow the coordinates.
Sites, in units of the cell vectors:
Ir (0.000, 0.000, 0.500)  -0.03
Ir (0.000, 0.500, 0.000)  0.04
Ir (0.500, 0.000, 0.000)  0.08
Fe (0.500, 0.500, 0.500)  -0.33
As (0.000, 0.000, 0.000)  -0.01

=====

#b
Crystalline FeAsIr3 at its relaxed geometry. Source: Alexandria, functional PBE-GGA.

Summary:
* SG: Pm-3m (221)

Unit cell a=4.470 b=4.470 c=4.470 alpha=90.00 beta=90.00 gamma=90.00
Site moments in Bohr magnetons follow the coordinates.
Sites, in units of the cell vectors:
Fe (0.000, 0.000, 0.000)  0.10
As (0.500, 0.500, 0.500)  0.00
Ir (0.000, 0.500, 0.000)  0.03
Ir (0.500, 0.000, 0.000)  0.02
Ir (0.000, 0.000, 0.500)  0.03

=====

The structure with the least stability is #a.

=====

#a
Crystalline FeAsIrSe2 at its relaxed geometry. Source: Alexandria, functional PBE-GGA.

Summary:
* SG: P4/mmm (123)

Unit cell a=4.568 b=4.568 c=4.420 alpha=90.00 beta=90.00 gamma=90.00
Site moments in Bohr magnetons follow the coordinates.
Sites, in units of the cell vectors:
Ir (0.500, 0.500, 0.500)  -0.11
Se (0.500, 0.000, 0.000)  0.04
Se (0.000, 0.500, 0.000)  0.04
As (0.000, 0.000, 0.500)  -0.03
Fe (0.000, 0.000, 0.000)  0.94

=====

#b
Crystalline FeAsIrSe2 at its relaxed geometry. Source: Alexandria, functional PBE-GGA.

Summary:
* SG: P4/mmm (123)

Unit cell a=5.096 b=5.096 c=4.559 alpha=90.00 beta=90.00 gamma=90.00
Site moments in Bohr magnetons follow the coordinates.
Sites, in units of the cell vectors:
Se (0.500, 0.000, 0.000)  0.01
Se (0.000, 0.500, 0.000)  0.01
Fe (0.500, 0.500, 0.500)  3.39
As (0.000, 0.000, 0.500)  0.01
Ir (0.000, 0.000, 0.000)  -0.05

=====

The structure with the least stability is #b.

=====

#a
Crystalline KFe3As at its relaxed geometry. Source: Alexandria, functional PBE-GGA.

Summary:
* SG: Pm-3m (221)

Unit cell a=4.539 b=4.539 c=4.539 alpha=90.00 beta=90.00 gamma=90.00
Site moments in Bohr magnetons follow the coordinates.
Sites, in units of the cell vectors:
Fe (0.000, 0.000, 0.500)  2.45
Fe (0.000, 0.500, 0.000)  2.78
Fe (0.500, 0.000, 0.000)  2.93
K (0.000, 0.000, 0.000)  -0.09
As (0.500, 0.500, 0.500)  0.10

=====

#b
Crystalline KFe3As at its relaxed geometry. Source: Alexandria, functional PBE-GGA.

Summary:
* SG: Pm-3m (221)

Unit cell a=4.668 b=4.668 c=4.668 alpha=90.00 beta=90.00 gamma=90.00
Site moments in Bohr magnetons follow the coordinates.
Sites, in units of the cell vectors:
Fe (0.000, 0.000, 0.500)  2.69
Fe (0.000, 0.500, 0.000)  2.77
Fe (0.500, 0.000, 0.000)  2.80
As (0.000, 0.000, 0.000)  -0.04
K (0.500, 0.500, 0.500)  -0.03

=====

The structure with the least stability is #a.

=====

#a
Crystalline KFeAs2Se at its relaxed geometry. Source: Alexandria, functional PBE-GGA.

Summary:
* SG: P4/mmm (123)

Unit cell a=4.560 b=4.560 c=5.566 alpha=90.00 beta=90.00 gamma=90.00
Site moments in Bohr magnetons follow the coordinates.
Sites, in units of the cell vectors:
Fe (0.000, 0.000, 0.000)  1.46
K (0.500, 0.500, 0.500)  0.00
As (0.000, 0.500, 0.000)  -0.08
As (0.500, 0.000, 0.000)  -0.08
Se (0.000, 0.000, 0.500)  -0.08

=====

#b
Crystalline KFeAs2Se at its relaxed geometry. Source: Alexandria, functional PBE-GGA.

Summary:
* SG: P4/mmm (123)

Unit cell a=5.392 b=5.392 c=5.469 alpha=90.00 beta=90.00 gamma=90.00
Site moments in Bohr magnetons follow the coordinates.
Sites, in units of the cell vectors:
Fe (0.500, 0.500, 0.500)  3.40
K (0.000, 0.000, 0.000)  0.01
As (0.500, 0.000, 0.000)  -0.05
As (0.000, 0.500, 0.000)  -0.05
Se (0.000, 0.000, 0.500)  -0.01

=====

The structure with the least stability is #b.

=====

#a
Crystalline LaFe3As at its relaxed geometry. Source: Alexandria, functional PBE-GGA.

Summary:
* SG: Pm-3m (221)

Unit cell a=4.555 b=4.555 c=4.555 alpha=90.00 beta=90.00 gamma=90.00
Site moments in Bohr magnetons follow the coordinates.
Sites, in units of the cell vectors:
La (0.500, 0.500, 0.500)  0.33
Fe (0.000, 0.500, 0.000)  -2.32
Fe (0.500, 0.000, 0.000)  -2.32
Fe (0.000, 0.000, 0.500)  -2.31
As (0.000, 0.000, 0.000)  0.04

=====

#b
Crystalline LaFe3As at its relaxed geometry. Source: Alexandria, functional PBE-GGA.

Summary:
* SG: Pm-3m (221)

Unit cell a=4.650 b=4.650 c=4.650 alpha=90.00 beta=90.00 gamma=90.00
Site moments in Bohr magnetons follow the coordinates.
Sites, in units of the cell vectors:
Fe (0.500, 0.000, 0.000)  2.08
Fe (0.000, 0.500, 0.000)  2.21
Fe (0.000, 0.000, 0.500)  2.12
La (0.000, 0.000, 0.000)  -0.38
As (0.500, 0.500, 0.500)  0.09

=====

The structure with the least stability is #b.